Record 1
Entry from Alexandria via LeMat-Bulk: a relaxed Er3Zn2Cd4 crystal (GGA-PBE).

Cell and atoms, written as CIF:
```
data_Er3Zn2Cd4
_chemical_formula_sum 'Er6 Zn4 Cd8'
_cell_length_a 10.745
_cell_length_b 4.814
_cell_length_c 8.959
_cell_angle_alpha 90.00
_cell_angle_beta 118.06
_cell_angle_gamma 90.00
_symmetry_space_group_name_H-M 'C 1 2/m 1'
_symmetry_Int_Tables_number 12
_symmetry_space_group_name_Hall '-C 2y'
loop_
_atom_site_label
_atom_site_type_symbol
_atom_site_fract_x
_atom_site_fract_y
_atom_site_fract_z
_atom_site_occupancy
Er1 Er 0.000 0.000 0.000 1
Er2 Er 0.168 0.500 0.663 1
Zn1 Zn 0.108 0.500 0.278 1
Cd1 Cd 0.056 0.000 0.384 1
Cd2 Cd 0.218 0.500 0.059 1
```

Summary:
* DFT formation energy: -302 meV per atom

---

Record 2
Entry from Alexandria via LeMat-Bulk: a relaxed Cd2CoRu crystal (GGA-PBE).

Cell and atoms, written as CIF:
```
data_Cd2CoRu
_chemical_formula_sum 'Cd2 Co1 Ru1'
_cell_length_a 2.849
_cell_length_b 2.849
_cell_length_c 8.065
_cell_angle_alpha 90.00
_cell_angle_beta 90.00
_cell_angle_gamma 90.00
_symmetry_space_group_name_H-M 'P 4/m m m'
_symmetry_Int_Tables_number 123
_symmetry_space_group_name_Hall '-P 4 2'
loop_
_atom_site_label
_atom_site_type_symbol
_atom_site_fract_x
_atom_site_fract_y
_atom_site_fract_z
_atom_site_occupancy
Cd1 Cd 0.000 0.000 0.240 1
Co1 Co 0.500 0.500 0.000 1
Ru1 Ru 0.500 0.500 0.500 1
```

Summary:
* relative energy among the computed polymorphs: 0.98 eV per formula unit
* DFT formation energy: 448 meV per atom

---

Record 3
Entry from Alexandria via LeMat-Bulk: a relaxed ZrBe2Ag crystal (GGA-PBE).

Cell and atoms, written as CIF:
```
data_ZrBe2Ag
_chemical_formula_sum 'Zr1 Be2 Ag1'
_cell_length_a 3.007
_cell_length_b 3.007
_cell_length_c 6.346
_cell_angle_alpha 90.00
_cell_angle_beta 90.00
_cell_angle_gamma 90.00
_symmetry_space_group_name_H-M 'P 4/m m m'
_symmetry_Int_Tables_number 123
_symmetry_space_group_name_Hall '-P 4 2'
loop_
_atom_site_label
_atom_site_type_symbol
_atom_site_fract_x
_atom_site_fract_y
_atom_site_fract_z
_atom_site_occupancy
Zr1 Zr 0.000 0.000 0.000 1
Be1 Be 0.500 0.500 0.285 1
Ag1 Ag 0.000 0.000 0.500 1
```

Summary:
* relative energy among the computed polymorphs: 0.20 eV per formula unit
* DFT formation energy: 62 meV per atom

---

Record 4
Entry from Alexandria via LeMat-Bulk: a relaxed La3Al9Au2 crystal (GGA-PBE).

Cell and atoms, written as CIF:
```
data_La3Al9Au2
_chemical_formula_sum 'La6 Al18 Au4'
_cell_length_a 4.441
_cell_length_b 10.343
_cell_length_c 12.790
_cell_angle_alpha 90.00
_cell_angle_beta 90.00
_cell_angle_gamma 90.00
_symmetry_space_group_name_H-M 'I m m m'
_symmetry_Int_Tables_number 71
_symmetry_space_group_name_Hall '-I 2 2'
loop_
_atom_site_label
_atom_site_type_symbol
_atom_site_fract_x
_atom_site_fract_y
_atom_site_fract_z
_atom_site_occupancy
La1 La 0.000 0.000 0.000 1
La2 La 0.000 0.000 0.314 1
Al1 Al 0.000 0.276 0.129 1
Al2 Al 0.000 0.369 0.334 1
Al3 Al 0.000 0.500 0.000 1
Au1 Au 0.000 0.220 0.500 1
```

Summary:
* DFT formation energy: -532 meV per atom

---

Record 5
Entry from Alexandria via LeMat-Bulk: a relaxed Nd2Y6Ho2Tm crystal (GGA-PBE).

Cell and atoms, written as CIF:
```
data_Nd2Y6Ho2Tm
_chemical_formula_sum 'Nd4 Y12 Ho4 Tm2'
_cell_length_a 5.660
_cell_length_b 12.057
_cell_length_c 10.649
_cell_angle_alpha 90.00
_cell_angle_beta 90.00
_cell_angle_gamma 90.00
_symmetry_space_group_name_H-M 'C m m m'
_symmetry_Int_Tables_number 65
_symmetry_space_group_name_Hall '-C 2 2'
loop_
_atom_site_label
_atom_site_type_symbol
_atom_site_fract_x
_atom_site_fract_y
_atom_site_fract_z
_atom_site_occupancy
Nd1 Nd 0.000 0.135 0.000 1
Y1 Y 0.000 0.000 0.297 1
Y2 Y 0.000 0.347 0.212 1
Ho1 Ho 0.000 0.205 0.500 1
Tm1 Tm 0.000 0.500 0.500 1
```

Summary:
* DFT formation energy: 144 meV per atom

---

Record 6
Entry from Alexandria via LeMat-Bulk: a relaxed TlCuRe2 crystal (GGA-PBE).

Cell and atoms, written as CIF:
```
data_TlCuRe2
_chemical_formula_sum 'Tl1 Cu1 Re2'
_cell_length_a 3.024
_cell_length_b 3.024
_cell_length_c 7.339
_cell_angle_alpha 90.00
_cell_angle_beta 90.00
_cell_angle_gamma 90.00
_symmetry_space_group_name_H-M 'P 4 m m'
_symmetry_Int_Tables_number 99
_symmetry_space_group_name_Hall 'P 4 -2'
loop_
_atom_site_label
_atom_site_type_symbol
_atom_site_fract_x
_atom_site_fract_y
_atom_site_fract_z
_atom_site_occupancy
Tl1 Tl 0.000 0.000 0.000 1
Cu1 Cu 0.500 0.500 0.265 1
Re1 Re 0.000 0.000 0.493 1
Re2 Re 0.500 0.500 0.691 1
```

Summary:
* relative energy among the computed polymorphs: 0.00 eV per formula unit
* DFT formation energy: 455 meV per atom

---

Record 7
Entry from Alexandria via LeMat-Bulk: a relaxed Ca2Sm5Dy4 crystal (GGA-PBE).

Cell and atoms, written as CIF:
```
data_Ca2Sm5Dy4
_chemical_formula_sum 'Ca2 Sm5 Dy4'
_cell_length_a 6.270
_cell_length_b 8.101
_cell_length_c 8.174
_cell_angle_alpha 107.48
_cell_angle_beta 105.03
_cell_angle_gamma 97.50
_symmetry_space_group_name_H-M 'P -1'
_symmetry_Int_Tables_number 2
_symmetry_space_group_name_Hall '-P 1'
loop_
_atom_site_label
_atom_site_type_symbol
_atom_site_fract_x
_atom_site_fract_y
_atom_site_fract_z
_atom_site_occupancy
Ca1 Ca 0.132 0.230 0.045 1
Sm1 Sm 0.324 0.860 0.764 1
Sm2 Sm 0.417 0.687 0.143 1
Sm3 Sm 0.500 0.500 0.500 1
Dy1 Dy 0.049 0.406 0.670 1
Dy2 Dy 0.233 0.044 0.421 1
```

Summary:
* DFT formation energy: 63 meV per atom

---

Record 8
Entry from Alexandria via LeMat-Bulk: a relaxed Sb2PbSe crystal (GGA-PBE).

Cell and atoms, written as CIF:
```
data_Sb2PbSe
_chemical_formula_sum 'Sb4 Pb2 Se2'
_cell_length_a 3.988
_cell_length_b 5.781
_cell_length_c 9.985
_cell_angle_alpha 90.00
_cell_angle_beta 90.00
_cell_angle_gamma 90.00
_symmetry_space_group_name_H-M 'I m m 2'
_symmetry_Int_Tables_number 44
_symmetry_space_group_name_Hall 'I 2 -2'
loop_
_atom_site_label
_atom_site_type_symbol
_atom_site_fract_x
_atom_site_fract_y
_atom_site_fract_z
_atom_site_occupancy
Sb1 Sb 0.000 0.000 0.000 1
Sb2 Sb 0.000 0.500 0.283 1
Pb1 Pb 0.000 0.000 0.462 1
Se1 Se 0.000 0.500 0.731 1
```

Summary:
* relative energy among the computed polymorphs: 1.11 eV per formula unit
* uncorrected formation energy: 60.5 meV/atom

---

Record 9
Entry from Alexandria via LeMat-Bulk: a relaxed Ta4MnCr3 crystal (GGA-PBE).

Cell and atoms, written as CIF:
```
data_Ta4MnCr3
_chemical_formula_sum 'Ta4 Mn1 Cr3'
_cell_length_a 3.087
_cell_length_b 3.087
_cell_length_c 12.376
_cell_angle_alpha 90.00
_cell_angle_beta 90.00
_cell_angle_gamma 90.00
_symmetry_space_group_name_H-M 'P 4/m m m'
_symmetry_Int_Tables_number 123
_symmetry_space_group_name_Hall '-P 4 2'
loop_
_atom_site_label
_atom_site_type_symbol
_atom_site_fract_x
_atom_site_fract_y
_atom_site_fract_z
_atom_site_occupancy
Ta1 Ta 0.000 0.000 0.123 1
Ta2 Ta 0.000 0.000 0.374 1
Mn1 Mn 0.500 0.500 0.000 1
Cr1 Cr 0.500 0.500 0.249 1
Cr2 Cr 0.500 0.500 0.500 1
```

Summary:
* DFT formation energy: -91 meV per atom

---

Record 10
Entry from Alexandria via LeMat-Bulk: a relaxed RePb2Cl crystal (GGA-PBE).

Cell and atoms, written as CIF:
```
data_RePb2Cl
_chemical_formula_sum 'Re1 Pb2 Cl1'
_cell_length_a 3.353
_cell_length_b 4.674
_cell_length_c 6.568
_cell_angle_alpha 90.00
_cell_angle_beta 90.00
_cell_angle_gamma 90.00
_symmetry_space_group_name_H-M 'P m m m'
_symmetry_Int_Tables_number 47
_symmetry_space_group_name_Hall '-P 2 2'
loop_
_atom_site_label
_atom_site_type_symbol
_atom_site_fract_x
_atom_site_fract_y
_atom_site_fract_z
_atom_site_occupancy
Re1 Re 0.000 0.000 0.000 1
Pb1 Pb 0.000 0.500 0.500 1
Pb2 Pb 0.500 0.500 0.000 1
Cl1 Cl 0.500 0.000 0.500 1
```

Summary:
* relative energy among the computed polymorphs: 1.67 eV per formula unit
* uncorrected formation energy: 862.7 meV/atom

---

Record 11
Entry from Alexandria via LeMat-Bulk: a relaxed NaPa2Te4 crystal (GGA-PBE).

Cell and atoms, written as CIF:
```
data_NaPa2Te4
_chemical_formula_sum 'Na4 Pa8 Te16'
_cell_length_a 4.340
_cell_length_b 14.226
_cell_length_c 15.401
_cell_angle_alpha 90.00
_cell_angle_beta 90.00
_cell_angle_gamma 90.00
_symmetry_space_group_name_H-M 'C m c m'
_symmetry_Int_Tables_number 63
_symmetry_space_group_name_Hall '-C 2c 2'
loop_
_atom_site_label
_atom_site_type_symbol
_atom_site_fract_x
_atom_site_fract_y
_atom_site_fract_z
_atom_site_occupancy
Na1 Na 0.000 0.103 0.250 1
Pa1 Pa 0.000 0.363 0.065 1
Te1 Te 0.000 0.000 0.000 1
Te2 Te 0.000 0.278 0.620 1
Te3 Te 0.000 0.437 0.250 1
```

Summary:
* relative energy among the computed polymorphs: 0.00 eV per formula unit
* uncorrected formation energy: -799.4 meV/atom

---

Record 12
Entry from Alexandria via LeMat-Bulk: a relaxed La4ZnAuO crystal (GGA-PBE).

Cell and atoms, written as CIF:
```
data_La4ZnAuO
_chemical_formula_sum 'La16 Zn4 Au4 O4'
_cell_length_a 7.091
_cell_length_b 15.228
_cell_length_c 7.079
_cell_angle_alpha 90.00
_cell_angle_beta 90.00
_cell_angle_gamma 90.00
_symmetry_space_group_name_H-M 'C m c m'
_symmetry_Int_Tables_number 63
_symmetry_space_group_name_Hall '-C 2c 2'
loop_
_atom_site_label
_atom_site_type_symbol
_atom_site_fract_x
_atom_site_fract_y
_atom_site_fract_z
_atom_site_occupancy
La1 La 0.000 0.068 0.250 1
La2 La 0.000 0.430 0.250 1
La3 La 0.250 0.250 0.000 1
Zn1 Zn 0.000 0.375 0.750 1
Au1 Au 0.000 0.121 0.750 1
O1 O 0.000 0.254 0.250 1
```

Summary:
* uncorrected formation energy: -1090.1 meV/atom

---

Record 13
Entry from Alexandria via LeMat-Bulk: a relaxed HOsPd3 crystal (GGA-PBE).

Cell and atoms, written as CIF:
```
data_HOsPd3
_chemical_formula_sum 'H1 Os1 Pd3'
_cell_length_a 4.848
_cell_length_b 4.848
_cell_length_c 4.848
_cell_angle_alpha 90.00
_cell_angle_beta 90.00
_cell_angle_gamma 90.00
_symmetry_space_group_name_H-M 'P m -3 m'
_symmetry_Int_Tables_number 221
_symmetry_space_group_name_Hall '-P 4 2 3'
loop_
_atom_site_label
_atom_site_type_symbol
_atom_site_fract_x
_atom_site_fract_y
_atom_site_fract_z
_atom_site_occupancy
H1 H 0.000 0.000 0.000 1
Os1 Os 0.500 0.500 0.500 1
Pd1 Pd 0.000 0.500 0.500 1
```

Summary:
* E_tot: -4.3078 eV/atom

---

Record 14
Entry from Alexandria via LeMat-Bulk: a relaxed Ba4Na5Rh2 crystal (GGA-PBE).

Cell and atoms, written as CIF:
```
data_Ba4Na5Rh2
_chemical_formula_sum 'Ba4 Na5 Rh2'
_cell_length_a 9.425
_cell_length_b 4.287
_cell_length_c 11.345
_cell_angle_alpha 90.00
_cell_angle_beta 99.86
_cell_angle_gamma 90.00
_symmetry_space_group_name_H-M 'P 1 2/m 1'
_symmetry_Int_Tables_number 10
_symmetry_space_group_name_Hall '-P 2y'
loop_
_atom_site_label
_atom_site_type_symbol
_atom_site_fract_x
_atom_site_fract_y
_atom_site_fract_z
_atom_site_occupancy
Ba1 Ba 0.166 0.000 0.298 1
Ba2 Ba 0.193 0.000 0.935 1
Na1 Na 0.176 0.500 0.616 1
Na2 Na 0.451 0.500 0.169 1
Na3 Na 0.500 0.500 0.500 1
Rh1 Rh 0.099 0.500 0.100 1
```

Summary:
* DFT formation energy: -59 meV per atom

---

Record 15
Entry from Alexandria via LeMat-Bulk: a relaxed AcLa2Nd6Tm crystal (GGA-PBE).

Cell and atoms, written as CIF:
```
data_AcLa2Nd6Tm
_chemical_formula_sum 'Ac4 La8 Nd24 Tm4'
_cell_length_a 9.387
_cell_length_b 15.654
_cell_length_c 9.967
_cell_angle_alpha 90.00
_cell_angle_beta 96.79
_cell_angle_gamma 90.00
_symmetry_space_group_name_H-M 'C 1 2/c 1'
_symmetry_Int_Tables_number 15
_symmetry_space_group_name_Hall '-C 2yc'
loop_
_atom_site_label
_atom_site_type_symbol
_atom_site_fract_x
_atom_site_fract_y
_atom_site_fract_z
_atom_site_occupancy
Ac1 Ac 0.000 0.019 0.250 1
La1 La 0.244 0.445 0.456 1
Nd1 Nd 0.064 0.192 0.945 1
Nd2 Nd 0.103 0.395 0.117 1
Nd3 Nd 0.209 0.223 0.309 1
Tm1 Tm 0.000 0.409 0.750 1
```

Summary:
* DFT formation energy: 114 meV per atom

---

Record 16
Entry from Alexandria via LeMat-Bulk: a relaxed SrCoTe2 crystal (GGA-PBE).

Cell and atoms, written as CIF:
```
data_SrCoTe2
_chemical_formula_sum 'Sr2 Co2 Te4'
_cell_length_a 4.129
_cell_length_b 7.523
_cell_length_c 7.911
_cell_angle_alpha 90.00
_cell_angle_beta 90.00
_cell_angle_gamma 90.00
_symmetry_space_group_name_H-M 'C m m m'
_symmetry_Int_Tables_number 65
_symmetry_space_group_name_Hall '-C 2 2'
loop_
_atom_site_label
_atom_site_type_symbol
_atom_site_fract_x
_atom_site_fract_y
_atom_site_fract_z
_atom_site_occupancy
Sr1 Sr 0.000 0.000 0.000 1
Co1 Co 0.000 0.000 0.500 1
Te1 Te 0.000 0.500 0.300 1
```

Summary:
* uncorrected formation energy: -284.3 meV/atom

---

Record 17
Entry from Alexandria via LeMat-Bulk: a relaxed BaU2TiO8 crystal (GGA-PBE).

Cell and atoms, written as CIF:
```
data_BaU2TiO8
_chemical_formula_sum 'Ba1 U2 Ti1 O8'
_cell_length_a 5.096
_cell_length_b 5.101
_cell_length_c 7.115
_cell_angle_alpha 89.09
_cell_angle_beta 89.07
_cell_angle_gamma 86.29
_symmetry_space_group_name_H-M 'P -1'
_symmetry_Int_Tables_number 2
_symmetry_space_group_name_Hall '-P 1'
loop_
_atom_site_label
_atom_site_type_symbol
_atom_site_fract_x
_atom_site_fract_y
_atom_site_fract_z
_atom_site_occupancy
Ba1 Ba 0.000 0.000 0.000 1
U1 U 0.495 0.495 0.261 1
Ti1 Ti 0.000 0.000 0.500 1
O1 O 0.197 0.800 0.693 1
O2 O 0.202 0.804 0.307 1
O3 O 0.304 0.305 0.496 1
O4 O 0.337 0.340 0.987 1
```

Summary:
* uncorrected formation energy: -3002.3 meV/atom

---

Record 18
Entry from Alexandria via LeMat-Bulk: a relaxed In2CoPt crystal (GGA-PBE).

Cell and atoms, written as CIF:
```
data_In2CoPt
_chemical_formula_sum 'In2 Co1 Pt1'
_cell_length_a 4.454
_cell_length_b 4.454
_cell_length_c 3.423
_cell_angle_alpha 90.00
_cell_angle_beta 90.00
_cell_angle_gamma 90.00
_symmetry_space_group_name_H-M 'P 4/m m m'
_symmetry_Int_Tables_number 123
_symmetry_space_group_name_Hall '-P 4 2'
loop_
_atom_site_label
_atom_site_type_symbol
_atom_site_fract_x
_atom_site_fract_y
_atom_site_fract_z
_atom_site_occupancy
In1 In 0.000 0.500 0.000 1
Co1 Co 0.000 0.000 0.500 1
Pt1 Pt 0.500 0.500 0.500 1
```

Summary:
* relative energy among the computed polymorphs: 0.05 eV per formula unit
* DFT formation energy: -110 meV per atom

---

Record 19
Entry from Alexandria via LeMat-Bulk: a relaxed Pm5Sm3As8 crystal (GGA-PBE).

Cell and atoms, written as CIF:
```
data_Pm5Sm3As8
_chemical_formula_sum 'Pm15 Sm9 As24'
_cell_length_a 8.4585
_cell_length_b 8.4585
_cell_length_c 20.7172
_cell_angle_alpha 90.00
_cell_angle_beta 90.00
_cell_angle_gamma 120.00
_symmetry_space_group_name_H-M 'R -3 m'
_symmetry_Int_Tables_number 166
_symmetry_space_group_name_Hall '-R 3 2"'
loop_
_atom_site_label
_atom_site_type_symbol
_atom_site_fract_x
_atom_site_fract_y
_atom_site_fract_z
_atom_site_occupancy
Pm1 Pm 0.0000 0.0000 0.0000 1
Pm2 Pm 0.0000 0.0000 0.5000 1
Pm3 Pm 0.0000 0.5000 0.0000 1
Sm1 Sm 0.0000 0.5000 0.5000 1
As1 As 0.0000 0.0000 0.2495 1
As2 As 0.0006 0.5003 0.7503 1
```

Summary:
* DFT formation energy: -1528 meV per atom